# 1
# Tb2ThAg6 PBE-GGA relaxed
# Fermi-level density of states: 8.1 states/eV/f.u.
# formation enthalpy at 0 K: -0.211 eV/atom
# E_tot: -3.966 eV/atom
data_Tb2ThAg6
_chemical_formula_sum 'Tb2 Th1 Ag6'
_cell_length_a 8.3281
_cell_length_b 8.3281
_cell_length_c 3.4201
_cell_angle_alpha 90.00
_cell_angle_beta 90.00
_cell_angle_gamma 120.00
_space_group_name_H-M_alt 'P 6/m m m'
_space_group_IT_number 191
_space_group_name_Hall '-P 6 2'
loop_
_atom_site_label
_atom_site_type_symbol
_atom_site_fract_x
_atom_site_fract_y
_atom_site_fract_z
_atom_site_occupancy
Tb1 Tb 0.3333 0.6667 0.0000 1
Th1 Th 0.0000 0.0000 0.0000 1
Ag1 Ag 0.0000 0.3354 0.5000 1

# 2
# Tb2ThAg3 PBE-GGA relaxed
# Fermi-level density of states: 5.0 states/eV/f.u.
# formation enthalpy at 0 K: -0.218 eV/atom
# E_tot: -4.424 eV/atom
data_Tb2ThAg3
_chemical_formula_sum 'Tb2 Th1 Ag3'
_cell_length_a 3.615
_cell_length_b 3.615
_cell_length_c 11.429
_cell_angle_alpha 90.00
_cell_angle_beta 90.00
_cell_angle_gamma 90.00
_space_group_name_H-M_alt 'P 4/m m m'
_space_group_IT_number 123
_space_group_name_Hall '-P 4 2'
loop_
_atom_site_label
_atom_site_type_symbol
_atom_site_fract_x
_atom_site_fract_y
_atom_site_fract_z
_atom_site_occupancy
Tb1 Tb 0.000 0.000 0.161 1
Th1 Th 0.000 0.000 0.500 1
Ag1 Ag 0.500 0.500 0.000 1
Ag2 Ag 0.500 0.500 0.319 1

# 3
# Tb3ThAg2 PBE-GGA relaxed
# Fermi-level density of states: 6.0 states/eV/f.u.
# formation enthalpy at 0 K: -0.200 eV/atom
# E_tot: -4.702 eV/atom
data_Tb3ThAg2
_chemical_formula_sum 'Tb3 Th1 Ag2'
_cell_length_a 3.637
_cell_length_b 3.637
_cell_length_c 12.145
_cell_angle_alpha 90.00
_cell_angle_beta 90.00
_cell_angle_gamma 90.00
_space_group_name_H-M_alt 'P 4/m m m'
_space_group_IT_number 123
_space_group_name_Hall '-P 4 2'
loop_
_atom_site_label
_atom_site_type_symbol
_atom_site_fract_x
_atom_site_fract_y
_atom_site_fract_z
_atom_site_occupancy
Tb1 Tb 0.000 0.000 0.000 1
Tb2 Tb 0.000 0.000 0.303 1
Th1 Th 0.500 0.500 0.500 1
Ag1 Ag 0.500 0.500 0.150 1

# 4
# Tb2ThAg PBE-GGA relaxed
# Fermi-level density of states: 4.7 states/eV/f.u.
# formation enthalpy at 0 K: 0.032 eV/atom
# E_tot: -4.851 eV/atom
# energy above the most stable polymorph in this dataset: 176 meV per atom
data_Tb2ThAg
_chemical_formula_sum 'Tb2 Th1 Ag1'
_cell_length_a 5.598
_cell_length_b 5.598
_cell_length_c 3.571
_cell_angle_alpha 90.00
_cell_angle_beta 90.00
_cell_angle_gamma 90.00
_space_group_name_H-M_alt 'P 4/m m m'
_space_group_IT_number 123
_space_group_name_Hall '-P 4 2'
loop_
_atom_site_label
_atom_site_type_symbol
_atom_site_fract_x
_atom_site_fract_y
_atom_site_fract_z
_atom_site_occupancy
Tb1 Tb 0.000 0.500 0.000 1
Th1 Th 0.000 0.000 0.500 1
Ag1 Ag 0.500 0.500 0.500 1

# 5
# Tb5ThAg4 PBE-GGA relaxed
# Fermi-level density of states: 7.1 states/eV/f.u.
# formation enthalpy at 0 K: -0.248 eV/atom
# E_tot: -4.446 eV/atom
data_Tb5ThAg4
_chemical_formula_sum 'Tb5 Th1 Ag4'
_cell_length_a 3.626
_cell_length_b 3.626
_cell_length_c 19.608
_cell_angle_alpha 90.00
_cell_angle_beta 90.00
_cell_angle_gamma 90.00
_space_group_name_H-M_alt 'P 4/m m m'
_space_group_IT_number 123
_space_group_name_Hall '-P 4 2'
loop_
_atom_site_label
_atom_site_type_symbol
_atom_site_fract_x
_atom_site_fract_y
_atom_site_fract_z
_atom_site_occupancy
Tb1 Tb 0.000 0.000 0.000 1
Tb2 Tb 0.000 0.000 0.189 1
Tb3 Tb 0.000 0.000 0.378 1
Th1 Th 0.500 0.500 0.500 1
Ag1 Ag 0.500 0.500 0.094 1
Ag2 Ag 0.500 0.500 0.282 1

# 6
# TbThAg4 PBE-GGA relaxed
# Fermi-level density of states: 3.6 states/eV/f.u.
# formation enthalpy at 0 K: -0.158 eV/atom
# E_tot: -4.067 eV/atom
# energy above the most stable polymorph in this dataset: 0 meV per atom
data_TbThAg4
_chemical_formula_sum 'Tb2 Th2 Ag8'
_cell_length_a 5.372
_cell_length_b 9.537
_cell_length_c 5.371
_cell_angle_alpha 90.00
_cell_angle_beta 90.00
_cell_angle_gamma 90.00
_space_group_name_H-M_alt 'C m m m'
_space_group_IT_number 65
_space_group_name_Hall '-C 2 2'
loop_
_atom_site_label
_atom_site_type_symbol
_atom_site_fract_x
_atom_site_fract_y
_atom_site_fract_z
_atom_site_occupancy
Tb1 Tb 0.000 0.000 0.000 1
Th1 Th 0.000 0.500 0.500 1
Ag1 Ag 0.000 0.171 0.500 1
Ag2 Ag 0.000 0.324 0.000 1